The following is a GGA-PBE calculation of Sm2HoMg3AgHg2 after structural relaxation, from the Open Quantum Materials Database.

Cell lengths 4.223, 13.556, 7.852 Å; angles 90.00, 90.00, 90.00 degrees
Space group Amm2 (No. 38)
Inequivalent atoms, fractional coordinates:
Sm 0.000 0.205 0.000 [4 per cell]
Ho 0.000 0.000 0.614 [2 per cell]
Mg 0.500 0.000 0.962 [2 per cell]
Mg 0.500 0.121 0.328 [4 per cell]
Ag 0.000 0.000 0.209 [2 per cell]
Hg 0.500 0.163 0.704 [4 per cell]

Calculated values
- volume (Å³ per atom) = 25.0
- VASP energy (eV/atom) = -2.82